Entry 1:
# Rb2NaRuPt

A geometry-optimized Rb2NaRuPt structure (PBE, the Alexandria database).

abc: 6.370 4.763 6.370
angles: 90.00 90.00 90.00
Fractional coordinates of all 5 atoms:
Ru1 0.000 0.000 0.000
Rb1 0.000 0.000 0.500
Rb2 0.500 0.000 0.000
Pt1 0.000 0.500 0.000
Na1 0.500 0.500 0.500



Entry 2:
# SrHfTc3

A geometry-optimized SrHfTc3 structure (PBE, the Alexandria database).

- Offset from the most stable computed form: 0 meV/atom

abc: 4.919 4.919 4.919
angles: 90.00 90.00 90.00
Last column: magnetic moment on the atom in μB.
Fractional coordinates of all 5 atoms:
Sr1 0.500 0.500 0.500  0.01
Hf1 0.000 0.000 0.000  -0.05
Tc1 0.000 0.500 0.000  1.02
Tc2 0.000 0.000 0.500  1.02
Tc3 0.500 0.000 0.000  1.07



Number 1: total magnetic moment 0.0 Bohr magnetons per cell, raw total energy -2.981 eV/atom. Number 2: total magnetic moment 3.4 Bohr magnetons per cell, raw total energy -7.224 eV/atom.